## NaSm2NpTe4 (PBE-GGA)

Data for a relaxed NaSm2NpTe4 crystal.

Energy relative to the elements, uncorrected   -1.14 eV/atom

abc: 7.7375 4.4307 7.7396
angles: 90.00 109.22 90.00
Last column: nearest neighbours and their distance in Å.
Element x y z (fractional)
Na (0.0000, 0.0000, 0.0000)  6 Te 3.14-3.15
Sm (0.0000, 0.5000, 0.5000)  6 Te 3.15-3.16
Sm (0.5000, 0.0000, 0.5000)  6 Te 3.15-3.17
Np (0.5000, 0.5000, 0.0000)  6 Te 3.14-3.15
Te (0.2510, 0.0000, 0.7527)  2 Np 3.14, 1 Na 3.14, 3 Sm 3.16-3.17
Te (0.2506, 0.5000, 0.2505)  3 Sm 3.15, 1 Np 3.15, 2 Na 3.15
Te (0.7490, 0.0000, 0.2473)  2 Np 3.14, 1 Na 3.14, 3 Sm 3.16-3.17
Te (0.7494, 0.5000, 0.7495)  3 Sm 3.15, 1 Np 3.15, 2 Na 3.15